Ba3TbCo2O6 | PBE with a Hubbard U | relaxed

abc: 6.1964 6.1964 6.9652
angles: 90.00 90.00 120.00
Space group P-3m1 (No. 164)
One atom of each set of equivalent atoms:
Ba 0.0000 0.0000 0.0000
Ba 0.3333 0.6667 0.6613
Tb 0.0000 0.0000 0.5000
Co 0.3333 0.6667 0.2209
O 0.1664 0.3329 0.3007

Values from the calculation:
As for the density of states at the Fermi level: 10.93 states/eV/cell. The uncorrected energy is -6.25 eV/atom.